The following is a PBE calculation of NdTh4O10 after structural relaxation, from Alexandria via LeMat-Bulk.

Cell lengths 3.9794, 3.9794, 48.7303 Å; angles 90.00, 90.00, 120.00 degrees
Space group R-3m (No. 166, hexagonal axes)
Unique sites:
Nd 0.0000 0.0000 0.0000 [3 per cell]
Th 0.0000 0.0000 0.2000 [6 per cell]
Th 0.0000 0.0000 0.3999 [6 per cell]
O 0.0000 0.0000 0.0515 [6 per cell]
O 0.0000 0.0000 0.1500 [6 per cell]
O 0.0000 0.0000 0.2495 [6 per cell]
O 0.0000 0.0000 0.3513 [6 per cell]
O 0.0000 0.0000 0.4503 [6 per cell]

=====

The following is a PBE calculation of NdTiO3 after structural relaxation, from Alexandria via LeMat-Bulk.

Cell lengths 6.066, 3.903, 6.651 Å; angles 90.00, 108.76, 90.00 degrees
Space group P2_1/m (No. 11)
Unique sites:
Nd 0.009 0.250 0.245 [2 per cell]
Ti 0.500 0.250 0.687 [2 per cell]
O 0.174 0.250 0.649 [2 per cell]
O 0.174 0.750 0.126 [2 per cell]
O 0.442 0.250 0.369 [2 per cell]

=====

The following is a PBE calculation of Nd2Ti2O7 after structural relaxation, from Alexandria via LeMat-Bulk.

Cell lengths 10.389, 10.389, 10.389 Å; angles 90.00, 90.00, 90.00 degrees
Space group Fd-3m (No. 227, origin choice 2)
Unique sites:
Nd 0.000 0.000 0.000 [16 per cell]
Ti 0.000 0.000 0.500 [16 per cell]
O 0.075 0.375 0.875 [48 per cell]
O 0.125 0.125 0.125 [8 per cell]

=====

The following is a PBE calculation of NdTiO4 after structural relaxation, from Alexandria via LeMat-Bulk.

Cell lengths 3.949, 7.476, 5.771 Å; angles 90.00, 90.00, 90.00 degrees
Space group Pmmn (No. 59, origin choice 2)
Unique sites:
Nd 0.250 0.250 0.072 [2 per cell]
Ti 0.250 0.750 0.383 [2 per cell]
O 0.250 0.250 0.642 [2 per cell]
O 0.250 0.562 0.174 [4 per cell]
O 0.250 0.750 0.705 [2 per cell]

=====

The following is a PBE calculation of NdTiO3 after structural relaxation, from Alexandria via LeMat-Bulk.

Cell lengths 5.741, 7.849, 5.501 Å; angles 90.00, 90.00, 90.00 degrees
Space group Pnma (No. 62)
Unique sites:
Nd 0.060 0.250 0.015 [4 per cell]
Ti 0.000 0.000 0.500 [4 per cell]
O 0.027 0.750 0.406 [4 per cell]
O 0.205 0.548 0.799 [8 per cell]

=====

The following is a PBE calculation of NdTi2O4 after structural relaxation, from Alexandria via LeMat-Bulk.

Cell lengths 5.675, 6.219, 5.576 Å; angles 90.00, 90.00, 90.00 degrees
Space group Cmmm (No. 65)
Unique sites:
Nd 0.000 0.000 0.000 [2 per cell]
Ti 0.000 0.276 0.500 [4 per cell]
O 0.250 0.250 0.259 [8 per cell]

=====

The following is a PBE calculation of Nd4Ti6O19 after structural relaxation, from Alexandria via LeMat-Bulk.

Cell lengths 8.876, 8.876, 8.876 Å; angles 90.00, 90.00, 90.00 degrees
Space group I23 (No. 197)
Unique sites:
Nd 0.161 0.161 0.161 [8 per cell]
Ti 0.000 0.166 0.500 [12 per cell]
O 0.000 0.000 0.000 [2 per cell]
O 0.000 0.000 0.352 [12 per cell]
O 0.047 0.285 0.680 [24 per cell]

=====

The following is a PBE calculation of Nd3TiO6 after structural relaxation, from Alexandria via LeMat-Bulk.

Cell lengths 9.337, 11.526, 5.708 Å; angles 90.00, 90.00, 90.00 degrees
Space group Cmc2_1 (No. 36)
Unique sites:
Nd 0.000 0.102 0.000 [4 per cell]
Nd 0.188 0.400 0.042 [8 per cell]
Ti 0.000 0.310 0.573 [4 per cell]
O 0.000 0.281 0.250 [4 per cell]
O 0.000 0.465 0.707 [4 per cell]
O 0.150 0.242 0.738 [8 per cell]
O 0.157 0.014 0.272 [8 per cell]

=====

| no. | DFT total energy (eV per atom) | magnetization (Bohr magnetons per cell) | formation energy without anion corrections (eV/f.u.) |
| --- | --- | --- | --- |
| 1 | -9.237 | 3.2 | -54.52 |
| 2 | -8.574 | 2.0 | -15.33 |
| 3 | -8.704 | 0.0 | -35.71 |
| 4 | -8.207 | 2.0 | -16.75 |
| 5 | -8.656 | 3.9 | -15.74 |
| 6 | -8.570 | 0.0 | -19.60 |
| 7 | -8.534 | 2.6 | -86.83 |
| 8 | -8.401 | 1.6 | -32.07 |